The following is a PBE calculation of YCrOs after structural relaxation, from the Alexandria database.

Cell: 3.056 3.056 11.439 Å, 90.00 90.00 90.00°
Space group I4mm (No. 107)
Asymmetric unit:
Y 0.000 0.000 0.000 [2 per cell]
Cr 0.000 0.000 0.302 [2 per cell]
Os 0.000 0.000 0.699 [2 per cell]

## Properties
Magnetization, μB per formula unit: 0.0
Energy of formation from the pure elements, eV per atom: 0.16